This record from Alexandria describes an optimized crystal structure of Er2GaBi. The functional is PBE.

Crystal system: monoclinic
Energy: -4.51 eV per atom

Cell: 4.1947 4.1947 7.7866 Å, 105.55 105.55 59.88°
Positions (direct):
Er: 0.2472 0.2472 0.2413
Er: 0.7528 0.7528 0.7587
Ga: 0.5000 0.5000 0.0000
Bi: 0.0000 0.0000 0.5000